Density functional theory data (PBE) for a relaxed structure of BaCdGaAu3.

Unit cell a=7.597 b=12.616 c=6.796 alpha=90.00 beta=90.00 gamma=90.00
Space group Cmcm (No. 63)
One atom of each set of equivalent atoms:
Ba: 0.000 0.212 0.250 [4 per cell]
Cd: 0.000 0.092 0.750 [4 per cell]
Ga: 0.000 0.491 0.250 [4 per cell]
Au: 0.000 0.307 0.750 [4 per cell]
Au: 0.247 0.000 0.000 [8 per cell]

Results
* total DFT energy (no corrections): -71.5 eV per cell